(i)
DFT (PBE) results for a relaxed structure of CsBrCl4.

Lattice parameters (Å, degrees): 8.0150 8.0150 12.7270 66.73 66.73 38.36
Positions (direct):
Cs  0.5000  0.0000  0.5000
Cs  0.0000  0.5000  0.0000
Br  0.2496  0.7504  0.2500
Br  0.7504  0.2496  0.7500
Cl  0.9122  0.4113  0.7435
Cl  0.1782  0.6785  0.4577
Cl  0.8218  0.3215  0.5423
Cl  0.4113  0.9122  0.2435
Cl  0.5887  0.0878  0.7565
Cl  0.3215  0.8218  0.0423
Cl  0.6785  0.1782  0.9577
Cl  0.0878  0.5887  0.2565

Its calculated volume is 38.41 Å³/atom. As for the density of states at the Fermi level: 0.000 states/eV per atom. The calculation puts the total moment at 0.000 μB/atom.


(ii)
DFT (PBE) results for a relaxed structure of CsBrCl4.

Lattice parameters (Å, degrees): 11.0162 6.6435 8.1414 93.18 105.53 116.30
Positions (direct):
Cs  0.7570  0.0652  0.9244
Cs  0.2430  0.9348  0.0756
Br  0.1643  0.3935  0.5433
Br  0.8357  0.6065  0.4567
Cl  0.1448  0.3686  0.2394
Cl  0.8773  0.6642  0.0593
Cl  0.3264  0.8236  0.6736
Cl  0.6735  0.1764  0.3264
Cl  0.8552  0.6314  0.7606
Cl  0.4629  0.1885  0.7971
Cl  0.5370  0.8115  0.2029
Cl  0.1227  0.3358  0.9407

Its calculated volume is 42.01 Å³/atom. As for the density of states at the Fermi level: 0.000 states/eV per atom. The calculation puts the total moment at 0.000 μB/atom.


Most stable structure - (ii); separation to the second - 1.0 kJ/mol of atoms.


(i)
DFT (PBE) results for a relaxed structure of Cs4Br2Cl.

Lattice parameters (Å, degrees): 5.1753 5.1753 17.6396 81.56 81.56 60.00
Positions (direct):
Cs  0.1210  0.1210  0.6369
Cs  0.2955  0.2955  0.1134
Cs  0.7045  0.7045  0.8866
Cs  0.8790  0.8790  0.3631
Br  0.4128  0.4128  0.7617
Br  0.5872  0.5872  0.2383
Cl  0.0000  0.0000  0.0000

Its calculated volume is 57.61 Å³/atom. As for the density of states at the Fermi level: 0.218 states/eV per atom. The calculation puts the total moment at 0.000 μB/atom.


(ii)
DFT (PBE) results for a relaxed structure of Cs4Br2Cl.

Lattice parameters (Å, degrees): 6.6814 6.6814 10.3407 71.15 71.15 90.00
Positions (direct):
Cs  0.8010  0.8010  0.3979
Cs  0.1989  0.1989  0.6021
Cs  0.0000  0.5000  0.0000
Cs  0.5000  0.0000  0.0000
Br  0.6125  0.6125  0.7750
Br  0.3875  0.3875  0.2250
Cl  0.0000  0.0000  0.0000

Its calculated volume is 58.66 Å³/atom. As for the density of states at the Fermi level: 0.252 states/eV per atom. The calculation puts the total moment at 0.000 μB/atom.


Most stable structure - (i); separation to the second - 9.9 kJ/mol of atoms.


(i)
DFT (PBE) results for a relaxed structure of Cs2HfBrCl6.

Lattice parameters (Å, degrees): 8.0104 8.0104 8.2431 60.93 60.93 90.00
Positions (direct):
Cs  0.7500  0.2500  0.5000
Cs  0.2500  0.7500  0.5000
Hf  0.0000  0.0000  0.0000
Br  0.5000  0.5000  0.0000
Cl  0.2052  0.2052  0.5896
Cl  0.7948  0.7948  0.4104
Cl  0.2171  0.2171  0.0000
Cl  0.7829  0.7829  0.0000
Cl  0.7829  0.2171  0.0000
Cl  0.2171  0.7829  0.0000

Its calculated volume is 38.43 Å³/atom. As for the density of states at the Fermi level: 0.656 states/eV per atom. The calculation puts the total moment at 0.100 μB/atom.


(ii)
DFT (PBE) results for a relaxed structure of Cs2HfBrCl6.

Lattice parameters (Å, degrees): 9.0777 8.5542 9.0835 49.25 48.85 49.39
Positions (direct):
Cs  0.6263  0.4860  0.3086
Cs  0.0593  0.1457  0.7416
Hf  0.3329  0.3160  0.0349
Br  0.5832  0.8172  0.7836
Cl  0.5298  0.2048  0.2067
Cl  0.1797  0.0359  0.3331
Cl  0.0352  0.5944  0.1888
Cl  0.4998  0.5942  0.7122
Cl  0.6549  0.0398  0.8673
Cl  0.1605  0.4276  0.8385

Its calculated volume is 37.08 Å³/atom. The calculation puts the total moment at 0.100 μB/atom.


Most stable structure - (ii); separation to the second - 6.8 kJ/mol of atoms.


(i)
DFT (PBE) results for a relaxed structure of Cs2MoBrCl6.

Lattice parameters (Å, degrees): 9.8405 9.0997 9.0650 39.10 45.06 55.13
Positions (direct):
Cs  0.6740  0.4542  0.2587
Cs  0.9474  0.1921  0.8382
Mo  0.3119  0.3102  0.0573
Br  0.8431  0.8369  0.5246
Cl  0.4215  0.2544  0.2668
Cl  0.1264  0.9939  0.4664
Cl  0.0510  0.5587  0.1524
Cl  0.5066  0.6252  0.6482
Cl  0.5748  0.0652  0.9570
Cl  0.2049  0.3708  0.8456

Its calculated volume is 36.18 Å³/atom. As for the density of states at the Fermi level: 0.536 states/eV per atom. The calculation puts the total moment at 0.099 μB/atom.


(ii)
DFT (PBE) results for a relaxed structure of Cs2MoBrCl6.

Lattice parameters (Å, degrees): 8.0679 8.0679 8.0720 60.02 60.02 90.00
Positions (direct):
Cs  0.7500  0.2500  0.5000
Cs  0.2500  0.7500  0.5000
Mo  0.0000  0.0000  0.0000
Br  0.5000  0.5000  0.0000
Cl  0.2079  0.2079  0.5843
Cl  0.7921  0.7921  0.4157
Cl  0.2080  0.2080  0.0000
Cl  0.7920  0.7920  0.0000
Cl  0.7920  0.2080  0.0000
Cl  0.2080  0.7920  0.0000

Its calculated volume is 37.17 Å³/atom. As for the density of states at the Fermi level: 0.918 states/eV per atom. The calculation puts the total moment at 0.100 μB/atom.


Most stable structure - (i); separation to the second - 6.8 kJ/mol of atoms.


(i)
DFT (PBE) results for a relaxed structure of Cs2NbBr6Cl.

Lattice parameters (Å, degrees): 8.3218 8.3218 8.3252 60.01 60.01 90.00
Positions (direct):
Cs  0.7500  0.2500  0.5000
Cs  0.2500  0.7500  0.5000
Nb  0.0000  0.0000  0.0000
Br  0.2176  0.2176  0.5647
Br  0.7824  0.7824  0.4353
Br  0.2178  0.2178  0.0000
Br  0.7822  0.7822  0.0000
Br  0.7822  0.2178  0.0000
Br  0.2178  0.7822  0.0000
Cl  0.5000  0.5000  0.0000

Its calculated volume is 40.78 Å³/atom. As for the density of states at the Fermi level: 0.000 states/eV per atom. The calculation puts the total moment at 0.000 μB/atom.


(ii)
DFT (PBE) results for a relaxed structure of Cs2NbBr6Cl.

Lattice parameters (Å, degrees): 9.3975 9.3943 7.6426 51.79 51.80 59.89
Positions (direct):
Cs  0.6150  0.6150  0.1534
Cs  0.0162  0.0173  0.9492
Nb  0.3161  0.3161  0.0516
Br  0.4599  0.1951  0.3264
Br  0.1940  0.0177  0.3294
Br  0.0177  0.4612  0.3258
Br  0.4385  0.6145  0.7741
Br  0.6145  0.1713  0.7772
Br  0.1723  0.4370  0.7770
Cl  0.8174  0.8163  0.5513

Its calculated volume is 40.88 Å³/atom. The calculation puts the total moment at 0.012 μB/atom.


Most stable structure - (ii); separation to the second - 7.0 kJ/mol of atoms.


(i)
DFT (PBE) results for a relaxed structure of CsPbBr2Cl.

Lattice parameters (Å, degrees): 8.4000 8.4000 8.2806 120.48 120.48 90.00
Positions (direct):
Cs  0.7499  0.2499  0.4999
Cs  0.2499  0.7499  0.4999
Pb  0.0003  0.0003  0.0007
Pb  0.5003  0.5003  0.0007
Br  0.2998  0.7998  0.9995
Br  0.7998  0.6997  0.9995
Br  0.6997  0.1997  0.9995
Br  0.1997  0.2998  0.9995
Cl  0.7504  0.7504  0.5009
Cl  0.2504  0.2504  0.5009

Its calculated volume is 40.71 Å³/atom. As for the density of states at the Fermi level: 0.000 states/eV per atom. The calculation puts the total moment at 0.000 μB/atom.


(ii)
DFT (PBE) results for a relaxed structure of CsPbBr2Cl.

Lattice parameters (Å, degrees): 6.9479 5.1527 6.9479 90.00 90.00 90.00
Positions (direct):
Pb  0.0000  0.5000  0.0000
Cs  0.5000  0.5000  0.5000
Br  0.0000  0.0000  0.5000
Br  0.5000  0.0000  0.0000
Cl  0.0000  0.0000  0.0000

Its calculated volume is 49.75 Å³/atom. As for the density of states at the Fermi level: 0.000 states/eV per atom. The calculation puts the total moment at 0.000 μB/atom.


Most stable structure - (i); separation to the second - 65.5 kJ/mol of atoms.